[1]
CoReBr2 (PBE, relaxed); energy = -5.1625 eV per atom; total moment = 1.9 μB/f.u.; formation energy from raw total energies = 12.971 kcal/mol of atoms; E above lowest polymorph = 0.254 eV per atom; SG = No. 35
1.0
-0.635 1.651 2.769
2.703 -1.802 0.495
4.785 6.426 -2.734
Br Co Re
2 1 1
Direct
0.000 0.000 0.916
0.500 0.500 0.357
0.000 0.000 0.542
0.500 0.500 0.685



[2]
Sr2CuF6 (PBE, relaxed); energy = -5.1085 eV per atom; total moment = 1.0 μB/f.u.; formation energy from raw total energies = -69.921 kcal/mol of atoms; E above lowest polymorph = 0.126 eV per atom; SG = No. 136
1.0
-2.058 -0.726 -4.790
4.728 -1.439 -1.813
-2.201 -10.417 2.525
F Sr Cu
12 4 2
Direct
0.819 0.181 0.151
0.733 0.733 0.000
0.681 0.681 0.651
0.319 0.319 0.349
0.233 0.767 0.500
0.319 0.319 0.651
0.267 0.267 0.000
0.681 0.681 0.349
0.819 0.181 0.849
0.181 0.819 0.849
0.767 0.233 0.500
0.181 0.819 0.151
0.000 0.000 0.665
0.500 0.500 0.835
0.500 0.500 0.165
0.000 0.000 0.335
0.500 0.500 0.500
0.000 0.000 0.000



[3]
KLaW4 (PBE, relaxed); ΔH_f (0 K) = 1.038 eV/atom; energy = -8.6012 eV per atom; total moment = 0.0 μB/f.u.; SG = No. 216
1.0
-4.814 -2.920 -0.409
-4.637 2.475 -2.060
-1.977 -1.488 -5.075
W La K
4 1 1
Direct
0.376 0.376 0.376
0.376 0.873 0.376
0.873 0.376 0.376
0.376 0.376 0.873
0.000 0.000 0.000
0.750 0.750 0.750



[4]
SrCdSe2Br (PBE, relaxed); energy = -3.0645 eV per atom; total moment = 0.0 μB/f.u.; formation energy from raw total energies = -18.835 kcal/mol of atoms; E above lowest polymorph = 0.000 eV per atom; SG = No. 123
1.0
-2.210 -0.053 4.744
4.713 -0.629 2.188
0.586 5.561 0.335
Br Sr Cd Se
1 1 1 2
Direct
0.000 0.000 0.500
0.500 0.500 0.500
0.000 0.000 0.000
0.000 0.500 0.000
0.500 0.000 0.000



[5]
TlZn2Cu (PBE, relaxed); ΔH_f (0 K) = 0.241 eV/atom; energy = -2.0116 eV per atom; total moment = 0.0 μB/f.u.; E above lowest polymorph = 0.113 eV per atom; SG = No. 122
1.0
-3.917 -0.343 1.447
1.462 -1.641 3.567
-0.641 7.219 6.043
Zn Cu Tl
4 2 2
Direct
0.875 0.800 0.750
0.550 0.125 0.250
0.200 0.625 0.250
0.375 0.450 0.750
0.250 0.750 0.500
0.500 0.500 0.000
0.750 0.250 0.500
0.000 0.000 0.000



[6]
NiAsRu2 (PBE, relaxed); ΔH_f (0 K) = 0.055 eV/atom; energy = -7.1903 eV per atom; total moment = 0.0 μB/f.u.; SG = No. 6
1.0
3.786 0.000 0.000
0.000 2.822 -0.008
0.000 1.419 5.170
Ru As Ni
2 1 1
Direct
0.500 0.445 0.235
0.000 0.062 0.002
0.000 0.291 0.541
0.500 0.702 0.722



[7]
KP2 (PBE, relaxed); ΔH_f (0 K) = -0.116 eV/atom; energy = -4.0880 eV per atom; total moment = 0.0 μB/f.u.; SG = No. 191
1.0
-3.907 -0.946 0.863
3.032 -2.519 1.170
0.371 2.500 4.423
P K
2 1
Direct
0.333 0.667 0.000
0.667 0.333 0.000
0.000 0.000 0.500



[8]
KTiIn (PBE, relaxed); ΔH_f (0 K) = 0.222 eV/atom; energy = -3.6883 eV per atom; total moment = 0.0 μB/f.u.; E above lowest polymorph = 0.182 eV per atom; SG = No. 1
1.0
-1.719 0.249 2.986
-5.811 -11.872 -4.748
2.928 -1.587 2.419
K Ti In
2 2 2
Direct
0.113 0.301 0.739
0.476 0.001 0.098
0.789 0.640 0.913
0.297 0.656 0.421
0.885 0.823 0.507
0.704 0.478 0.330



[9]
CsDyPb (PBE, relaxed); ΔH_f (0 K) = -0.111 eV/atom; energy = -3.1659 eV per atom; total moment = 0.0 μB/f.u.; SG = No. 166
1.0
-2.884 3.889 -2.234
-5.310 -0.421 -0.241
-3.696 6.891 10.405
Pb Cs Dy
2 2 2
Direct
0.614 0.614 0.157
0.386 0.386 0.843
0.886 0.886 0.342
0.114 0.114 0.658
0.697 0.697 0.910
0.303 0.303 0.090



[10]
CaSc2Ta (PBE, relaxed); ΔH_f (0 K) = 0.301 eV/atom; energy = -6.3286 eV per atom; total moment = 0.0 μB/f.u.; E above lowest polymorph = 0.085 eV per atom; SG = No. 166
1.0
-8.415 5.732 4.395
-9.431 2.751 5.146
-7.360 4.295 7.098
Sc Ca Ta
2 1 1
Direct
0.989 0.989 0.989
0.511 0.511 0.511
0.750 0.750 0.750
0.250 0.250 0.250



[11]
Tb4HgTeSe2 (PBE, relaxed); energy = -4.9396 eV per atom; total moment = 0.0 μB/f.u.; formation energy from raw total energies = -30.508 kcal/mol of atoms; SG = No. 10
1.0
-2.322 3.372 0.137
-3.292 -2.009 -6.379
-5.855 -4.099 1.686
Se Tb Hg Te
2 4 1 1
Direct
0.000 0.000 0.000
0.500 0.000 0.500
0.000 0.769 0.735
0.000 0.231 0.265
0.500 0.238 0.750
0.500 0.762 0.250
0.000 0.500 0.500
0.500 0.500 0.000



[12]
La3Th5H12 (PBE, relaxed); energy = -4.9864 eV per atom; total moment = 0.0 μB/f.u.; SG = No. 230
1.0
-6.800 8.639 -4.516
-3.017 -1.898 11.338
11.421 3.240 -0.571
H Th La
48 20 12
Direct
0.725 0.575 0.157
0.925 0.843 0.775
0.850 0.575 0.918
0.157 0.082 0.932
0.582 0.650 0.425
0.725 0.150 0.068
0.775 0.343 0.925
0.582 0.932 0.657
0.225 0.568 0.650
0.657 0.225 0.575
0.068 0.418 0.843
0.568 0.343 0.918
0.275 0.850 0.932
0.082 0.925 0.150
0.343 0.568 0.418
0.350 0.932 0.775
0.075 0.918 0.350
0.432 0.657 0.082
0.575 0.850 0.418
0.343 0.775 0.425
0.425 0.275 0.343
0.657 0.432 0.582
0.418 0.068 0.343
0.150 0.425 0.082
0.275 0.425 0.843
0.082 0.157 0.432
0.068 0.650 0.725
0.775 0.432 0.350
0.932 0.350 0.275
0.843 0.925 0.275
0.432 0.775 0.850
0.918 0.075 0.850
0.850 0.275 0.432
0.350 0.418 0.075
0.932 0.582 0.157
0.568 0.225 0.150
0.150 0.725 0.568
0.425 0.150 0.582
0.918 0.843 0.568
0.650 0.068 0.225
0.418 0.350 0.575
0.075 0.157 0.225
0.157 0.075 0.725
0.843 0.918 0.068
0.650 0.582 0.925
0.925 0.082 0.650
0.225 0.657 0.075
0.575 0.725 0.657
0.000 0.500 0.500
0.500 0.500 0.000
0.125 0.750 0.375
0.125 0.375 0.250
0.625 0.875 0.250
0.500 0.500 0.500
0.000 0.000 0.500
0.250 0.875 0.125
0.250 0.375 0.625
0.375 0.125 0.750
0.000 0.500 0.000
0.375 0.250 0.125
0.500 0.000 0.000
0.750 0.625 0.375
0.000 0.000 0.000
0.625 0.750 0.875
0.875 0.250 0.625
0.500 0.000 0.500
0.750 0.125 0.875
0.875 0.625 0.750
0.875 0.125 0.250
0.250 0.125 0.375
0.250 0.625 0.875
0.625 0.375 0.750
0.750 0.375 0.125
0.375 0.750 0.625
0.125 0.875 0.750
0.375 0.625 0.250
0.750 0.875 0.625
0.875 0.750 0.125
0.625 0.250 0.375
0.125 0.250 0.875



[13]
YAg2Os (PBE, relaxed); ΔH_f (0 K) = 0.389 eV/atom; energy = -5.4605 eV per atom; total moment = 0.0 μB/f.u.; E above lowest polymorph = 0.222 eV per atom; SG = No. 123
1.0
-1.011 -3.479 -0.533
1.499 0.076 -3.341
5.000 -1.791 2.203
Os Ag Y
1 2 1
Direct
0.500 0.500 0.250
0.000 0.000 0.018
0.000 0.000 0.482
0.500 0.500 0.750



[14]
YTm4Pb5 (PBE, relaxed); ΔH_f (0 K) = -0.279 eV/atom; energy = -4.5678 eV per atom; total moment = 0.0 μB/f.u.; E above lowest polymorph = 0.109 eV per atom; SG = No. 87
1.0
6.245 0.000 0.000
3.122 6.981 0.000
3.122 0.000 6.981
Pb Tm Y
5 4 1
Direct
0.304 0.796 0.597
0.902 0.403 0.796
0.100 0.597 0.204
0.501 0.000 0.000
0.698 0.204 0.403
0.603 0.600 0.197
0.799 0.803 0.600
0.203 0.197 0.400
0.399 0.400 0.803
0.001 0.000 0.000



[15]
KMgBF6 (PBE, relaxed); energy = -5.0920 eV per atom; total moment = 0.0 μB/f.u.; formation energy from raw total energies = -64.647 kcal/mol of atoms; SG = No. 149
1.0
4.934 0.000 0.000
2.467 4.273 0.000
0.000 0.000 5.696
Mg F K B
1 6 1 1
Direct
0.667 0.667 0.500
0.597 0.350 0.668
0.053 0.597 0.668
0.597 0.053 0.332
0.053 0.350 0.332
0.350 0.597 0.332
0.350 0.053 0.668
0.000 0.000 0.000
0.333 0.333 0.500



[16]
Cr3Rh (PBE, relaxed); ΔH_f (0 K) = 0.157 eV/atom; energy = -8.8984 eV per atom; total moment = 0.5 μB/f.u.; E above lowest polymorph = 0.114 eV per atom; SG = No. 139
1.0
-0.215 3.625 -0.320
-2.350 -0.383 -2.761
-1.580 -1.577 3.971
Cr Rh
3 1
Direct
0.250 0.750 0.500
0.500 0.500 0.000
0.750 0.250 0.500
0.000 0.000 0.000